## A
The following is a PBE calculation of a geometry-optimized LiYCoB structure, from OQMD.

Cell: 5.976 5.976 5.976 Å, 90.00 90.00 90.00°
Space group F-43m (No. 216)
Unique sites:
Li (0.000, 0.000, 0.000) x4
Y (0.250, 0.250, 0.250) x4
Co (0.250, 0.250, 0.750) x4
B (0.000, 0.000, 0.500) x4



## B
The following is a PBE calculation of a geometry-optimized LiYCoB structure, from OQMD.

Cell: 5.993 5.993 5.993 Å, 90.00 90.00 90.00°
Space group F-43m (No. 216)
Unique sites:
Li (0.000, 0.000, 0.000) x4
Y (0.250, 0.250, 0.750) x4
Co (0.000, 0.000, 0.500) x4
B (0.250, 0.250, 0.250) x4



A (11.6 kJ/mol of atoms below the next structure)



## A
The following is a PBE calculation of a geometry-optimized LiZnCoB structure, from OQMD.

Cell: 5.415 5.415 5.415 Å, 90.00 90.00 90.00°
Space group F-43m (No. 216)
Unique sites:
Li (0.000, 0.000, 0.000) x4
Zn (0.250, 0.250, 0.250) x4
Co (0.000, 0.000, 0.500) x4
B (0.250, 0.250, 0.750) x4



## B
The following is a PBE calculation of a geometry-optimized LiZnCoB structure, from OQMD.

Cell: 5.345 5.345 5.345 Å, 90.00 90.00 90.00°
Space group F-43m (No. 216)
Unique sites:
Li (0.000, 0.000, 0.000) x4
Zn (0.250, 0.250, 0.250) x4
Co (0.250, 0.250, 0.750) x4
B (0.000, 0.000, 0.500) x4



B (2.0 kJ/mol of atoms below the next structure)



## A
The following is a PBE calculation of a geometry-optimized LuMgCoB structure, from OQMD.

Cell: 6.083 6.083 6.083 Å, 90.00 90.00 90.00°
Space group F-43m (No. 216)
Unique sites:
Lu (0.000, 0.000, 0.000) x4
Mg (0.250, 0.250, 0.250) x4
Co (0.250, 0.250, 0.750) x4
B (0.000, 0.000, 0.500) x4



## B
The following is a PBE calculation of a geometry-optimized LuMgCoB structure, from OQMD.

Cell: 6.067 6.067 6.067 Å, 90.00 90.00 90.00°
Space group F-43m (No. 216)
Unique sites:
Lu (0.000, 0.000, 0.000) x4
Mg (0.250, 0.250, 0.750) x4
Co (0.000, 0.000, 0.500) x4
B (0.250, 0.250, 0.250) x4



B (13.3 kJ/mol of atoms below the next structure)



## A
The following is a PBE calculation of a geometry-optimized LuNbCoB structure, from OQMD.

Cell: 6.108 6.108 6.108 Å, 90.00 90.00 90.00°
Space group F-43m (No. 216)
Unique sites:
Lu (0.000, 0.000, 0.000) x4
Nb (0.250, 0.250, 0.250) x4
Co (0.250, 0.250, 0.750) x4
B (0.000, 0.000, 0.500) x4



## B
The following is a PBE calculation of a geometry-optimized LuNbCoB structure, from OQMD.

Cell: 6.139 6.139 6.139 Å, 90.00 90.00 90.00°
Space group F-43m (No. 216)
Unique sites:
Lu (0.000, 0.000, 0.000) x4
Nb (0.250, 0.250, 0.750) x4
Co (0.000, 0.000, 0.500) x4
B (0.250, 0.250, 0.250) x4



A (3.3 kJ/mol of atoms below the next structure)



## A
The following is a PBE calculation of a geometry-optimized LuCoNiB structure, from OQMD.

Cell: 5.824 5.824 5.824 Å, 90.00 90.00 90.00°
Space group F-43m (No. 216)
Unique sites:
Lu (0.000, 0.000, 0.000) x4
Co (0.250, 0.250, 0.750) x4
Ni (0.250, 0.250, 0.250) x4
B (0.000, 0.000, 0.500) x4



## B
The following is a PBE calculation of a geometry-optimized LuCoNiB structure, from OQMD.

Cell: 5.906 5.906 5.906 Å, 90.00 90.00 90.00°
Space group F-43m (No. 216)
Unique sites:
Lu (0.000, 0.000, 0.000) x4
Co (0.000, 0.000, 0.500) x4
Ni (0.250, 0.250, 0.750) x4
B (0.250, 0.250, 0.250) x4



A (1.6 kJ/mol of atoms below the next structure)



## A
The following is a PBE calculation of a geometry-optimized LuCoBOs structure, from OQMD.

Cell: 5.983 5.983 5.983 Å, 90.00 90.00 90.00°
Space group F-43m (No. 216)
Unique sites:
Lu (0.000, 0.000, 0.000) x4
Co (0.250, 0.250, 0.750) x4
B (0.000, 0.000, 0.500) x4
Os (0.250, 0.250, 0.250) x4



## B
The following is a PBE calculation of a geometry-optimized LuCoBOs structure, from OQMD.

Cell: 6.134 6.134 6.134 Å, 90.00 90.00 90.00°
Space group F-43m (No. 216)
Unique sites:
Lu (0.000, 0.000, 0.000) x4
Co (0.000, 0.000, 0.500) x4
B (0.250, 0.250, 0.250) x4
Os (0.250, 0.250, 0.750) x4



A (17.4 kJ/mol of atoms below the next structure)



## A
The following is a PBE calculation of a geometry-optimized LuCoBPd structure, from OQMD.

Cell: 6.157 6.157 6.157 Å, 90.00 90.00 90.00°
Space group F-43m (No. 216)
Unique sites:
Lu (0.000, 0.000, 0.000) x4
Co (0.000, 0.000, 0.500) x4
B (0.250, 0.250, 0.250) x4
Pd (0.250, 0.250, 0.750) x4



## B
The following is a PBE calculation of a geometry-optimized LuCoBPd structure, from OQMD.

Cell: 6.053 6.053 6.053 Å, 90.00 90.00 90.00°
Space group F-43m (No. 216)
Unique sites:
Lu (0.000, 0.000, 0.000) x4
Co (0.250, 0.250, 0.750) x4
B (0.000, 0.000, 0.500) x4
Pd (0.250, 0.250, 0.250) x4



B (8.1 kJ/mol of atoms below the next structure)



## A
The following is a PBE calculation of a geometry-optimized LuCoBPt structure, from OQMD.

Cell: 6.081 6.081 6.081 Å, 90.00 90.00 90.00°
Space group F-43m (No. 216)
Unique sites:
Lu (0.000, 0.000, 0.000) x4
Co (0.250, 0.250, 0.750) x4
B (0.000, 0.000, 0.500) x4
Pt (0.250, 0.250, 0.250) x4



## B
The following is a PBE calculation of a geometry-optimized LuCoBPt structure, from OQMD.

Cell: 6.199 6.199 6.199 Å, 90.00 90.00 90.00°
Space group F-43m (No. 216)
Unique sites:
Lu (0.000, 0.000, 0.000) x4
Co (0.000, 0.000, 0.500) x4
B (0.250, 0.250, 0.250) x4
Pt (0.250, 0.250, 0.750) x4



A (5.9 kJ/mol of atoms below the next structure)



## A
The following is a PBE calculation of a geometry-optimized LuCoBW structure, from OQMD.

Cell: 6.029 6.029 6.029 Å, 90.00 90.00 90.00°
Space group F-43m (No. 216)
Unique sites:
Lu (0.000, 0.000, 0.000) x4
Co (0.250, 0.250, 0.750) x4
B (0.000, 0.000, 0.500) x4
W (0.250, 0.250, 0.250) x4



## B
The following is a PBE calculation of a geometry-optimized LuCoBW structure, from OQMD.

Cell: 6.161 6.161 6.161 Å, 90.00 90.00 90.00°
Space group F-43m (No. 216)
Unique sites:
Lu (0.000, 0.000, 0.000) x4
Co (0.000, 0.000, 0.500) x4
B (0.250, 0.250, 0.250) x4
W (0.250, 0.250, 0.750) x4



A (4.6 kJ/mol of atoms below the next structure)



## A
The following is a PBE calculation of a geometry-optimized MgCoNiB structure, from OQMD.

Cell: 5.544 5.544 5.544 Å, 90.00 90.00 90.00°
Space group F-43m (No. 216)
Unique sites:
Mg (0.000, 0.000, 0.000) x4
Co (0.000, 0.000, 0.500) x4
Ni (0.250, 0.250, 0.750) x4
B (0.250, 0.250, 0.250) x4



## B
The following is a PBE calculation of a geometry-optimized MgCoNiB structure, from OQMD.

Cell: 5.474 5.474 5.474 Å, 90.00 90.00 90.00°
Space group F-43m (No. 216)
Unique sites:
Mg (0.000, 0.000, 0.000) x4
Co (0.250, 0.250, 0.750) x4
Ni (0.250, 0.250, 0.250) x4
B (0.000, 0.000, 0.500) x4



B (12.8 kJ/mol of atoms below the next structure)



## A
The following is a PBE calculation of a geometry-optimized MgCoSiB structure, from OQMD.

Cell: 5.634 5.634 5.634 Å, 90.00 90.00 90.00°
Space group F-43m (No. 216)
Unique sites:
Mg (0.000, 0.000, 0.000) x4
Co (0.250, 0.250, 0.750) x4
Si (0.000, 0.000, 0.500) x4
B (0.250, 0.250, 0.250) x4



## B
The following is a PBE calculation of a geometry-optimized MgCoSiB structure, from OQMD.

Cell: 5.647 5.647 5.647 Å, 90.00 90.00 90.00°
Space group F-43m (No. 216)
Unique sites:
Mg (0.000, 0.000, 0.000) x4
Co (0.000, 0.000, 0.500) x4
Si (0.250, 0.250, 0.250) x4
B (0.250, 0.250, 0.750) x4



B (9.5 kJ/mol of atoms below the next structure)



## A
The following is a PBE calculation of a geometry-optimized MgTaCoB structure, from OQMD.

Cell: 5.860 5.860 5.860 Å, 90.00 90.00 90.00°
Space group F-43m (No. 216)
Unique sites:
Mg (0.000, 0.000, 0.000) x4
Ta (0.250, 0.250, 0.250) x4
Co (0.250, 0.250, 0.750) x4
B (0.000, 0.000, 0.500) x4



## B
The following is a PBE calculation of a geometry-optimized MgTaCoB structure, from OQMD.

Cell: 5.862 5.862 5.862 Å, 90.00 90.00 90.00°
Space group F-43m (No. 216)
Unique sites:
Mg (0.000, 0.000, 0.000) x4
Ta (0.250, 0.250, 0.750) x4
Co (0.000, 0.000, 0.500) x4
B (0.250, 0.250, 0.250) x4



B (5.0 kJ/mol of atoms below the next structure)